[1]
# YTmSbCl2

Crystalline YTmSbCl2 at its relaxed geometry (GGA-PBE, the Open Quantum Materials Database).

Unit cell a=4.123 b=4.123 c=10.508 alpha=90.00 beta=90.00 gamma=120.00
Fractional coordinates of all 5 atoms:
1 Y 0.333 0.667 0.832
2 Tm 0.667 0.333 0.168
3 Cl 0.333 0.667 0.311
4 Cl 0.667 0.333 0.685
5 Sb 0.000 0.000 0.004

Its crystal system is trigonal. As for the symmetry: No. 156. The calculation puts the total energy at -0.197 Ha/atom.



[2]
# YAgSnS3

Crystalline YAgSnS3 at its relaxed geometry (GGA-PBE, the Open Quantum Materials Database).

Unit cell a=6.814 b=6.814 c=10.391 alpha=90.00 beta=90.00 gamma=145.89
Fractional coordinates of all 12 atoms:
1 S 0.409 0.591 0.750
2 Sn 0.246 0.754 0.250
3 Ag 0.039 0.961 0.750
4 S 0.591 0.409 0.250
5 Y 0.500 0.500 0.000
6 S 0.858 0.142 0.050
7 S 0.858 0.142 0.450
8 Y 0.500 0.500 0.500
9 Sn 0.754 0.246 0.750
10 Ag 0.961 0.039 0.250
11 S 0.142 0.858 0.950
12 S 0.142 0.858 0.550

Its crystal system is orthorhombic. As for the symmetry: No. 63. Its offset from the most stable computed form is 0.0522 eV/atom. The calculation puts the total energy at -0.192 Ha/atom.



[3]
# Ba2ZrPtN6

Crystalline Ba2ZrPtN6 at its relaxed geometry (GGA-PBE, the Open Quantum Materials Database).

Unit cell a=5.909 b=5.909 c=5.909 alpha=120.02 beta=120.02 gamma=89.96
Fractional coordinates of all 10 atoms:
1 Pt 0.000 0.000 0.000
2 N 0.242 0.242 0.000
3 N 0.758 0.758 0.000
4 N 0.758 0.242 0.000
5 Ba 0.750 0.250 0.500
6 Zr 0.500 0.500 0.000
7 N 0.242 0.758 0.000
8 Ba 0.250 0.750 0.500
9 N 0.242 0.242 0.483
10 N 0.758 0.758 0.517

Its crystal system is cubic. As for the symmetry: No. 225. The calculation puts the total energy at -0.246 Ha/atom.



[4]
# YTe2Pd2

Crystalline YTe2Pd2 at its relaxed geometry (GGA-PBE, the Open Quantum Materials Database).

Unit cell a=7.406 b=7.406 c=7.406 alpha=148.04 beta=148.04 gamma=45.82
Fractional coordinates of all 5 atoms:
1 Te 0.617 0.617 0.000
2 Pd 0.750 0.250 0.500
3 Y 0.000 0.000 0.000
4 Te 0.383 0.383 0.000
5 Pd 0.250 0.750 0.500

Its crystal system is tetragonal. As for the symmetry: No. 139. Its offset from the most stable computed form is 0.0000 eV/atom. The calculation puts the total energy at -0.194 Ha/atom.



[5]
# TmGaNi

Crystalline TmGaNi at its relaxed geometry (GGA-PBE, the Open Quantum Materials Database).

Unit cell a=6.671 b=4.204 c=7.440 alpha=90.00 beta=90.00 gamma=90.00
Fractional coordinates of all 12 atoms:
1 Ga 0.841 0.750 0.066
2 Ga 0.159 0.250 0.934
3 Ga 0.341 0.750 0.434
4 Tm 0.475 0.750 0.813
5 Ni 0.725 0.750 0.387
6 Ni 0.275 0.250 0.613
7 Ga 0.659 0.250 0.566
8 Ni 0.775 0.250 0.887
9 Tm 0.025 0.250 0.313
10 Tm 0.525 0.250 0.187
11 Tm 0.975 0.750 0.687
12 Ni 0.225 0.750 0.113

Its crystal system is orthorhombic. As for the symmetry: No. 62. The calculation puts the total energy at -0.185 Ha/atom.



[6]
# Sr2LuCu

Crystalline Sr2LuCu at its relaxed geometry (GGA-PBE, the Open Quantum Materials Database).

Unit cell a=5.623 b=5.623 c=5.623 alpha=60.00 beta=60.00 gamma=60.00
Fractional coordinates of all 4 atoms:
1 Sr 0.750 0.750 0.750
2 Lu 0.250 0.250 0.250
3 Sr 0.000 0.000 0.000
4 Cu 0.500 0.500 0.500

Its crystal system is cubic. As for the symmetry: No. 216. The calculation puts the total energy at -0.091 Ha/atom.



[7]
# BeCd2Si

Crystalline BeCd2Si at its relaxed geometry (GGA-PBE, the Open Quantum Materials Database).

Unit cell a=4.659 b=4.659 c=4.659 alpha=60.00 beta=60.00 gamma=60.00
Fractional coordinates of all 4 atoms:
1 Be 0.250 0.250 0.250
2 Si 0.500 0.500 0.500
3 Cd 0.750 0.750 0.750
4 Cd 0.000 0.000 0.000

Its crystal system is cubic. As for the symmetry: No. 216. The calculation puts the total energy at -0.078 Ha/atom.



[8]
# Zn3Sn2Pt2

Crystalline Zn3Sn2Pt2 at its relaxed geometry (GGA-PBE, the Open Quantum Materials Database).

Unit cell a=4.385 b=4.385 c=15.693 alpha=90.00 beta=90.00 gamma=120.00
Fractional coordinates of all 14 atoms:
1 Zn 0.667 0.333 0.250
2 Zn 0.333 0.667 0.750
3 Sn 0.333 0.667 0.428
4 Zn 0.000 0.000 0.832
5 Sn 0.667 0.333 0.572
6 Sn 0.333 0.667 0.072
7 Sn 0.667 0.333 0.928
8 Pt 0.000 0.000 0.000
9 Zn 0.000 0.000 0.332
10 Zn 0.000 0.000 0.668
11 Zn 0.000 0.000 0.168
12 Pt 0.667 0.333 0.750
13 Pt 0.333 0.667 0.250
14 Pt 0.000 0.000 0.500

Its crystal system is hexagonal. As for the symmetry: No. 194. The calculation puts the total energy at -0.142 Ha/atom.



[9]
# BaTcAsO

Crystalline BaTcAsO at its relaxed geometry (GGA-PBE, the Open Quantum Materials Database).

Unit cell a=4.337 b=4.337 c=10.075 alpha=90.00 beta=90.00 gamma=90.00
Fractional coordinates of all 8 atoms:
1 Ba 0.750 0.250 0.500
2 Tc 0.250 0.250 0.965
3 Tc 0.750 0.750 0.035
4 O 0.250 0.750 0.000
5 As 0.750 0.750 0.263
6 As 0.250 0.250 0.737
7 O 0.750 0.250 0.000
8 Ba 0.250 0.750 0.500

Its crystal system is tetragonal. As for the symmetry: No. 129. Its offset from the most stable computed form is 1.1037 eV/atom. The calculation puts the total energy at -0.198 Ha/atom.



[10]
# AcSmNO

Crystalline AcSmNO at its relaxed geometry (GGA-PBE, the Open Quantum Materials Database).

Unit cell a=4.103 b=6.018 c=7.065 alpha=90.00 beta=90.00 gamma=90.00
Fractional coordinates of all 8 atoms:
1 Sm 0.000 0.490 0.331
2 N 0.000 0.372 0.641
3 Ac 0.500 0.983 0.167
4 Ac 0.500 0.483 0.833
5 O 0.500 0.908 0.805
6 O 0.500 0.408 0.195
7 Sm 0.000 0.990 0.669
8 N 0.000 0.872 0.359

Its crystal system is orthorhombic. As for the symmetry: No. 26. Its offset from the most stable computed form is 0.0371 eV/atom. The calculation puts the total energy at -0.274 Ha/atom.



[11]
# TaAlTl

Crystalline TaAlTl at its relaxed geometry (GGA-PBE, the Open Quantum Materials Database).

Unit cell a=4.645 b=4.645 c=4.645 alpha=60.00 beta=60.00 gamma=60.00
Fractional coordinates of all 3 atoms:
1 Ta 0.000 0.000 0.000
2 Al 0.250 0.250 0.250
3 Tl 0.750 0.750 0.750

Its crystal system is cubic. As for the symmetry: No. 216. Its offset from the most stable computed form is 0.0000 eV/atom. The calculation puts the total energy at -0.188 Ha/atom.



[12]
# LiSbAu2

Crystalline LiSbAu2 at its relaxed geometry (GGA-PBE, the Open Quantum Materials Database).

Unit cell a=4.763 b=4.763 c=4.763 alpha=60.00 beta=60.00 gamma=60.00
Fractional coordinates of all 4 atoms:
1 Li 0.250 0.250 0.250
2 Sb 0.500 0.500 0.500
3 Au 0.000 0.000 0.000
4 Au 0.750 0.750 0.750

Its crystal system is cubic. As for the symmetry: No. 216. The calculation puts the total energy at -0.124 Ha/atom.